The following is a DFT calculation (PBE) of an optimized crystal structure of Ta3Te.

It has space group Fm-3m (No. 225), with a = 6.7317 Å, b = 6.7317 Å, c = 6.7317 Å, α = 90.00°, β = 90.00° and γ = 90.00°. The asymmetric unit holds Ta at (0.0000, 0.0000, 0.0000), Ta at (0.2500, 0.2500, 0.2500) and Te at (0.0000, 0.0000, 0.5000).

As for the density of states at the Fermi level: 21.51 states/eV per cell. Its energy relative to the elements, uncorrected is 151 kJ/mol of formula units. The crystal system is cubic.